Entry 1:
Crystalline TaF4 at its relaxed geometry, computed with PBE.

Lattice parameters (Å, degrees): 5.025 4.896 5.408 90.00 119.41 90.00
Atoms (fractional coordinates):
Ta1 0.000 0.000 0.000
Ta2 0.000 0.500 0.500
F1 0.138 0.149 0.395
F2 0.138 0.351 0.895
F3 0.381 0.668 0.619
F4 0.381 0.832 0.119
F5 0.619 0.168 0.881
F6 0.619 0.332 0.381
F7 0.862 0.649 0.105
F8 0.862 0.851 0.605

Calculated values
The space-group type is P2_1/c, No. 14. As for the energy above the most stable polymorph in this dataset: 77 meV/atom. The spin magnetization is 1.0 μB per formula unit.

Entry 2:
Crystalline TaF4 at its relaxed geometry, computed with PBE.

Lattice parameters (Å, degrees): 5.405 5.405 6.337 125.29 125.29 64.94
Atoms (fractional coordinates):
Ta1 0.229 0.771 0.000
Ta2 0.771 0.229 0.000
F1 0.211 0.724 0.674
F2 0.236 0.236 0.200
F3 0.276 0.789 0.326
F4 0.296 0.296 0.825
F5 0.704 0.704 0.175
F6 0.724 0.211 0.674
F7 0.764 0.764 0.800
F8 0.789 0.276 0.326

Calculated values
The space-group type is C2/m, No. 12. As for the energy above the most stable polymorph in this dataset: 0 meV/atom. The spin magnetization is 0.0 μB per formula unit.